Record 1
Density functional theory data (PBE) for Li4AcSn after structural relaxation.

Results
- total DFT energy (no corrections) (eV/atom) = -2.782
- energy above the most stable polymorph in this dataset (meV/atom) = 0
- DOS(E_F) (states/eV per atom) = 0.788

a b c (Å): 8.1802 8.1802 8.1802
angles (deg): 90.00 90.00 90.00
With the nearest neighbours (Å) after each atom.
Space group F-43m (No. 216)
One atom of each set of equivalent atoms:
Li (0.1241, 0.1241, 0.1241) x16  6 Li 2.87-2.91
Ac (0.0000, 0.0000, 0.5000) x4  12 Li 3.39, 4 Sn 3.54
Sn (0.2500, 0.2500, 0.7500) x4  12 Li 3.39, 4 Ac 3.54

***

Record 2
Density functional theory data (PBE) for SrLi2Ac2Sn2 after structural relaxation.

Results
- total DFT energy (no corrections) (eV/atom) = -3.545
- DOS(E_F) (states/eV per atom) = 0.663

a b c (Å): 5.0013 5.0013 31.2405
angles (deg): 90.00 90.00 120.00
With the nearest neighbours (Å) after each atom.
Space group R-3m (No. 166, hexagonal axes)
One atom of each set of equivalent atoms:
Sr (0.0000, 0.0000, 0.0000) x3  6 Li 3.53, 6 Sn 3.64
Li (0.0000, 0.0000, 0.3985) x6  3 Sn 2.89
Ac (0.0000, 0.0000, 0.1267) x6  3 Sn 3.37, 3 Li 3.47
Sn (0.0000, 0.0000, 0.2623) x6  3 Li 2.89

***

Record 3
Density functional theory data (PBE) for SrLiAcSn after structural relaxation.

Results
- total DFT energy (no corrections) (eV/atom) = -3.307
- DOS(E_F) (states/eV per atom) = 0.578

a b c (Å): 8.1056 8.1056 8.1056
angles (deg): 90.00 90.00 90.00
With the nearest neighbours (Å) after each atom.
Space group F-43m (No. 216)
One atom of each set of equivalent atoms:
Sr (0.0000, 0.0000, 0.0000) x4  4 Sn 3.51, 4 Li 3.51
Li (0.2500, 0.2500, 0.7500) x4  4 Ac 3.51, 4 Sr 3.51
Ac (0.0000, 0.0000, 0.5000) x4  4 Sn 3.51, 4 Li 3.51
Sn (0.2500, 0.2500, 0.2500) x4  4 Sr 3.51, 4 Ac 3.51

***

Record 4
Density functional theory data (PBE) for Li2AcTb2Sn2 after structural relaxation.

Results
- total DFT energy (no corrections) (eV/atom) = -4.071
- DOS(E_F) (states/eV per atom) = 0.654

a b c (Å): 4.8795 4.8795 28.0728
angles (deg): 90.00 90.00 120.00
With the nearest neighbours (Å) after each atom.
Space group R-3m (No. 166, hexagonal axes)
One atom of each set of equivalent atoms:
Li (0.0000, 0.0000, 0.0808) x6  3 Sn 2.83, 3 Tb 3.10
Ac (0.0000, 0.0000, 0.5000) x3  6 Sn 3.57, 6 Li 3.71, 2 Tb 3.71
Tb (0.0000, 0.0000, 0.3679) x6  3 Li 3.10, 4 Sn 3.20-3.45, 3 Tb 3.42
Sn (0.0000, 0.0000, 0.2449) x6  3 Li 2.83

***

Record 5
Density functional theory data (PBE) for LiAcTbSn after structural relaxation.

Results
- total DFT energy (no corrections) (eV/atom) = -4.010
- DOS(E_F) (states/eV per atom) = 0.798

a b c (Å): 7.7800 7.7800 7.7800
angles (deg): 90.00 90.00 90.00
With the nearest neighbours (Å) after each atom.
Space group F-43m (No. 216)
One atom of each set of equivalent atoms:
Li (0.0000, 0.0000, 0.0000) x4  4 Ac 3.37, 4 Tb 3.37
Ac (0.2500, 0.2500, 0.2500) x4  4 Sn 3.37, 4 Li 3.37
Tb (0.2500, 0.2500, 0.7500) x4  4 Sn 3.37, 4 Li 3.37
Sn (0.0000, 0.0000, 0.5000) x4  4 Tb 3.37, 4 Ac 3.37

***

Record 6
Density functional theory data (PBE) for Li2AcTbSn2 after structural relaxation.

Results
- total DFT energy (no corrections) (eV/atom) = -4.082
- DOS(E_F) (states/eV per atom) = 0.268

a b c (Å): 4.8040 4.8040 7.9280
angles (deg): 90.00 90.00 120.00
With the nearest neighbours (Å) after each atom.
Space group P-3m1 (No. 164)
One atom of each set of equivalent atoms:
Li (0.3333, 0.6667, 0.1871) x2  3 Sn 2.79
Ac (0.0000, 0.0000, 0.5000) x1  6 Sn 3.53, 6 Li 3.72
Tb (0.0000, 0.0000, 0.0000) x1  6 Li 3.15, 6 Sn 3.29
Sn (0.3333, 0.6667, 0.7758) x2  3 Li 2.79

***

Record 7
Density functional theory data (PBE) for LiAc2SnTe5 after structural relaxation.

Results
- total DFT energy (no corrections) (eV/atom) = -4.393
- ΔE_f (raw) (eV per atom) = -1.077
- DOS(E_F) (states/eV per atom) = 0.418

a b c (Å): 4.6210 19.5061 13.2292
angles (deg): 90.00 90.00 90.00
With the nearest neighbours (Å) after each atom.
Space group Cmc2_1 (No. 36)
One atom of each set of equivalent atoms:
Li (0.0000, 0.0677, 0.0000) x4  3 Te 2.67-2.69
Ac (0.0000, 0.3803, 0.8347) x4  8 Te 3.35-3.51
Ac (0.0000, 0.3920, 0.2181) x4  8 Te 3.35-3.60
Sn (0.0000, 0.3001, 0.5407) x4  6 Te 3.06-3.20
Te (0.0000, 0.0044, 0.8190) x4  1 Li 2.69
Te (0.0000, 0.1416, 0.5306) x4  1 Sn 3.09, 2 Ac 3.45
Te (0.0000, 0.2021, 0.8738) x4  1 Li 3.11, 2 Sn 3.20
Te (0.0000, 0.2174, 0.2000) x4  2 Sn 3.15, 3 Ac 3.41-3.48
Te (0.0000, 0.4522, 0.5963) x4  2 Li 2.67

***

Record 8
Density functional theory data (PBE) for Li2AcTh2Sn2 after structural relaxation.

Results
- total DFT energy (no corrections) (eV/atom) = -4.693
- DOS(E_F) (states/eV per atom) = 0.885

a b c (Å): 4.8889 4.8889 28.7577
angles (deg): 90.00 90.00 120.00
With the nearest neighbours (Å) after each atom.
Space group R-3m (No. 166, hexagonal axes)
One atom of each set of equivalent atoms:
Li (0.0000, 0.0000, 0.0861) x6  3 Sn 2.83
Ac (0.0000, 0.0000, 0.5000) x3  6 Sn 3.55, 6 Li 3.65, 2 Th 3.84
Th (0.0000, 0.0000, 0.3663) x6  3 Li 3.21, 4 Sn 3.29-3.58, 3 Th 3.40
Sn (0.0000, 0.0000, 0.2418) x6  3 Li 2.83

***

Record 9
Density functional theory data (PBE) for LiAcThSn after structural relaxation.

Results
- total DFT energy (no corrections) (eV/atom) = -4.540
- DOS(E_F) (states/eV per atom) = 0.948

a b c (Å): 7.8439 7.8439 7.8439
angles (deg): 90.00 90.00 90.00
With the nearest neighbours (Å) after each atom.
Space group F-43m (No. 216)
One atom of each set of equivalent atoms:
Li (0.0000, 0.0000, 0.0000) x4  4 Ac 3.40, 4 Th 3.40
Ac (0.2500, 0.2500, 0.7500) x4  4 Sn 3.40, 4 Li 3.40
Th (0.2500, 0.2500, 0.2500) x4  4 Li 3.40, 4 Sn 3.40
Sn (0.0000, 0.0000, 0.5000) x4  4 Th 3.40, 4 Ac 3.40

***

Record 10
Density functional theory data (PBE) for Li2AcTlSn after structural relaxation.

Results
- total DFT energy (no corrections) (eV/atom) = -3.286
- DOS(E_F) (states/eV per atom) = 0.551

a b c (Å): 6.8655 11.4682 6.5583
angles (deg): 90.00 90.00 90.00
With the nearest neighbours (Å) after each atom.
Space group Cmcm (No. 63)
One atom of each set of equivalent atoms:
Li (0.2054, 0.0000, 0.0000) x8  2 Sn 2.79, 2 Tl 2.79, 1 Li 2.82
Ac (0.0000, 0.2683, 0.2500) x4  4 Sn 3.54-3.55, 3 Tl 3.67, 8 Li 3.72-3.76
Tl (0.0000, 0.4121, 0.7500) x4  4 Li 2.79, 1 Sn 2.97
Sn (0.0000, 0.1530, 0.7500) x4  4 Li 2.79, 1 Tl 2.97

***

Record 11
Density functional theory data (PBE) for LiAcTlSn after structural relaxation.

Results
- total DFT energy (no corrections) (eV/atom) = -3.565
- energy above the most stable polymorph in this dataset (meV/atom) = 0
- DOS(E_F) (states/eV per atom) = 0.363

a b c (Å): 8.2083 4.7443 6.5093
angles (deg): 90.00 114.94 90.00
With the nearest neighbours (Å) after each atom.
Space group Cm (No. 8)
One atom of each set of equivalent atoms:
Li (0.0000, 0.0000, 0.0000) x2  3 Sn 2.83, 3 Tl 2.93
Ac (0.4910, 0.0000, 0.4731) x2  4 Tl 3.44-3.82, 4 Sn 3.44-3.82
Tl (0.2752, 0.0000, 0.8251) x2  3 Li 2.93, 3 Sn 3.24-3.25
Sn (0.2067, 0.5000, 0.1208) x2  3 Li 2.83

***

Record 12
Density functional theory data (PBE) for Li3Ac2TlSn4 after structural relaxation.

Results
- total DFT energy (no corrections) (eV/atom) = -3.760
- DOS(E_F) (states/eV per atom) = 0.200

a b c (Å): 4.6835 4.6835 11.8686
angles (deg): 90.00 90.00 90.00
With the nearest neighbours (Å) after each atom.
Space group P-4m2 (No. 115)
One atom of each set of equivalent atoms:
Li (0.0000, 0.0000, 0.0000) x1  4 Sn 2.98, 4 Tl 3.31
Li (0.0000, 0.5000, 0.6218) x2  5 Sn 2.64-2.75
Ac (0.0000, 0.5000, 0.2642) x2  8 Sn 3.55-3.65, 6 Li 3.58-3.91, 2 Tl 3.91
Tl (0.5000, 0.5000, 0.0000) x1  4 Sn 2.98, 4 Li 3.31
Sn (0.0000, 0.0000, 0.5000) x1  4 Li 2.75
Sn (0.0000, 0.5000, 0.8443) x2  1 Li 2.64
Sn (0.5000, 0.5000, 0.5000) x1  4 Li 2.75